Record 1
# SrTa2Cd

Crystalline SrTa2Cd at its relaxed geometry (PBE, Alexandria via LeMat-Bulk).

```
SrTa2Cd
1.0
0.000 3.543 3.543
3.543 0.000 3.543
3.543 3.543 0.000
Sr Ta Cd
1 2 1
direct
0.000 0.000 0.000
0.250 0.250 0.250
0.500 0.500 0.500
0.750 0.750 0.750
```

Values from the calculation:
The density of states at the Fermi level comes out at 0.106 states/eV/atom. Its formation energy is 297 kJ/mol of formula units. The magnetic moment comes out at 0.00 μB/f.u.

Record 2
# Y6Te3P2S

Crystalline Y6Te3P2S at its relaxed geometry (PBE, Alexandria via LeMat-Bulk).

```
Y6Te3P2S
1.0
9.212 -2.056 0.000
9.212 2.056 0.000
-2.344 0.000 8.160
Y Te P S
6 3 2 1
direct
0.010 0.010 0.228
0.324 0.324 0.440
0.341 0.341 0.892
0.659 0.659 0.108
0.676 0.676 0.560
0.990 0.990 0.772
0.166 0.166 0.834
0.500 0.500 0.500
0.834 0.834 0.166
0.166 0.166 0.332
0.834 0.834 0.668
0.500 0.500 0.000
```

Values from the calculation:
The density of states at the Fermi level comes out at 0.406 states/eV/atom. Its final energy is -6.876 eV/atom. The magnetic moment comes out at 0.00 μB/f.u.

Record 3
# Pr2PuNi3Ge4

Crystalline Pr2PuNi3Ge4 at its relaxed geometry (PBE, Alexandria via LeMat-Bulk).

```
Pr2PuNi3Ge4
1.0
4.212 0.000 0.000
0.000 4.212 0.000
0.000 0.000 11.036
Pr Pu Ni Ge
2 1 3 4
direct
0.000 0.500 0.222
0.500 0.000 0.778
0.000 0.000 0.500
0.000 0.500 0.892
0.500 0.000 0.108
0.500 0.500 0.500
0.000 0.000 0.000
0.000 0.500 0.677
0.500 0.000 0.323
0.500 0.500 0.000
```

Values from the calculation:
The density of states at the Fermi level comes out at 1.609 states/eV/atom. Its formation energy is -505 kJ/mol of formula units. The magnetic moment comes out at 5.18 μB/f.u.

Record 4
# Nd4DyIn

Crystalline Nd4DyIn at its relaxed geometry (PBE, Alexandria via LeMat-Bulk).

```
Nd4DyIn
1.0
2.864 -10.723 0.000
2.864 10.723 0.000
0.000 0.000 6.491
Nd Dy In
8 2 2
direct
0.044 0.956 0.500
0.188 0.812 0.652
0.249 0.751 0.187
0.438 0.562 0.316
0.562 0.438 0.816
0.751 0.249 0.687
0.812 0.188 0.152
0.956 0.044 0.000
0.363 0.637 0.796
0.637 0.363 0.296
0.104 0.896 0.051
0.896 0.104 0.551
```

Values from the calculation:
The density of states at the Fermi level comes out at 1.169 states/eV/atom. The calculation puts the distance to the lowest polymorph of the same formula at 0.111 eV/atom. Its formation energy is -16 kJ/mol of formula units. The magnetic moment comes out at 0.00 μB/f.u.

Record 5
# SrMo2Pb

Crystalline SrMo2Pb at its relaxed geometry (PBE, Alexandria via LeMat-Bulk).

```
SrMo2Pb
1.0
5.247 -1.744 0.000
5.247 1.744 0.000
-1.279 0.000 5.766
Sr Mo Pb
1 2 1
direct
0.000 0.000 0.000
0.236 0.236 0.633
0.764 0.764 0.367
0.500 0.500 0.500
```

Values from the calculation:
The density of states at the Fermi level comes out at 0.754 states/eV/atom. Its formation energy is 233 kJ/mol of formula units. The magnetic moment comes out at 0.00 μB/f.u.

Record 6
# Hg3BIr

Crystalline Hg3BIr at its relaxed geometry (PBE, Alexandria via LeMat-Bulk).

```
Hg3BIr
1.0
5.251 0.000 0.000
0.000 5.251 0.000
0.000 0.000 5.251
Hg B Ir
3 1 1
direct
0.000 0.000 0.500
0.000 0.500 0.000
0.500 0.000 0.000
0.500 0.500 0.500
0.000 0.000 0.000
```

Values from the calculation:
The density of states at the Fermi level comes out at 0.687 states/eV/atom. The calculation puts the distance to the lowest polymorph of the same formula at 0.234 eV/atom. Its formation energy is 649 kJ/mol of formula units. The magnetic moment comes out at 0.00 μB/f.u.